1.
## YZnAg2 (GGA-PBE)

Data for an optimized crystal structure of YZnAg2.

The structure belongs to space group C2/m (No. 12); the cell edges are 5.851, 10.092 and 3.322 Å and the angles 90.00°, 120.17° and 90.00°. The asymmetric unit holds Y at (0.000, 0.000, 0.000), Zn at (0.000, 0.500, 0.000) and Ag at (0.250, 0.250, 0.500).

The value obtained for the formation energy is 0.0126 eV/atom. The total magnetization is 0.0 μB/f.u. For the total energy, the calculation gives -3.348 eV/atom.


2.
## Y3ZnAg (GGA-PBE)

Data for an optimized crystal structure of Y3ZnAg.

The structure belongs to space group Pm-3m (No. 221); the cell edges are 5.399, 5.399 and 5.399 Å and the angles 90.00°, 90.00° and 90.00°. The asymmetric unit holds Y at (0.000, 0.000, 0.500), Zn at (0.000, 0.000, 0.000) and Ag at (0.500, 0.500, 0.500).

The value obtained for the formation energy is 0.2775 eV/atom. The total magnetization is 0.3 μB/f.u. Its excess energy over the best structure of this formula in the dataset is 533 meV/atom. For the total energy, the calculation gives -4.426 eV/atom.